Below is a relaxed structure of Pr2SiPb, with properties calculated at the PBE level.

Calculated values
Calculated total energy = -5.1449 eV per atom

Lattice parameters (Å, degrees): 4.256 4.256 8.415 75.35 75.35 60.00
Atoms (fractional coordinates):
Pr: 0.263 0.263 0.210
Pb: 0.500 0.500 0.500
Si: 0.000 0.000 0.000
Pr: 0.737 0.737 0.790